A relaxed Tb5Er2Tm crystal. Source: Alexandria via LeMat-Bulk, functional PBE.

a b c (Å): 4.986 7.065 14.131
angles (deg): 90.00 90.00 90.00
Fractional coordinates of all 16 atoms:
Tb 0.500 0.250 0.375
Tm 0.000 0.500 0.000
Er 0.500 0.250 0.125
Tb 0.500 0.750 0.625
Er 0.500 0.750 0.375
Tm 0.000 0.000 0.500
Tb 0.000 0.500 0.500
Tb 0.000 0.500 0.250
Tb 0.500 0.250 0.875
Tb 0.500 0.750 0.125
Tb 0.000 0.000 0.749
Er 0.500 0.750 0.875
Tb 0.000 0.500 0.750
Tb 0.000 0.000 0.000
Tb 0.000 0.000 0.251
Er 0.500 0.250 0.625

Results
Raw total energy = -4.58 eV/atom
Crystal system = orthorhombic
Offset from the most stable computed form = 0 meV/atom
V = 248.9 Å³/f.u.
ΔH_f (0 K) = 2 kJ/mol of atoms
Symmetry = Pbam (55)

A relaxed Tb7ErTm12 crystal. Source: Alexandria via LeMat-Bulk, functional PBE.

a b c (Å): 9.607 9.607 9.607
angles (deg): 109.47 109.47 109.47
Fractional coordinates of all 20 atoms:
Tm 0.248 0.000 0.752
Tb 0.500 0.500 0.500
Tm 0.248 0.248 0.496
Tb 0.000 0.500 0.000
Tm 0.248 0.752 0.000
Tm 0.752 0.000 0.248
Tb 0.500 0.000 0.500
Tm 0.752 0.504 0.752
Tm 0.248 0.496 0.248
Tm 0.496 0.248 0.248
Tb 0.500 0.000 0.000
Tm 0.000 0.752 0.248
Tb 0.000 0.000 0.500
Tm 0.504 0.752 0.752
Tb 0.500 0.500 0.000
Tb 0.000 0.500 0.500
Tm 0.752 0.248 0.000
Tm 0.000 0.248 0.752
Er 0.000 0.000 0.000
Tm 0.752 0.752 0.504

Results
Raw total energy = -3.80 eV/atom
Crystal system = cubic
Offset from the most stable computed form = 426 meV/atom
V = 682.7 Å³/f.u.
ΔH_f (0 K) = 71 kJ/mol of atoms
Symmetry = Im-3m (229)

A relaxed Tb3Er5Tm crystal. Source: Alexandria via LeMat-Bulk, functional PBE.

a b c (Å): 7.597 9.345 10.773
angles (deg): 106.95 90.00 113.99
Fractional coordinates of all 18 atoms:
Er 0.415 0.336 0.079
Tb 0.326 0.668 0.169
Tb 0.000 0.000 0.000
Er 0.418 0.332 0.585
Er 0.079 0.664 0.421
Tb 0.341 0.668 0.669
Er 0.086 0.668 0.915
Er 0.921 0.336 0.579
Er 0.582 0.668 0.415
Tb 0.659 0.332 0.331
Er 0.585 0.664 0.921
Er 0.914 0.332 0.085
Tb 0.674 0.332 0.831
Tm 0.755 0.000 0.750
Er 0.746 0.000 0.250
Tm 0.245 0.000 0.250
Tb 0.000 0.000 0.500
Er 0.254 0.000 0.750

Results
Raw total energy = -3.84 eV/atom
Crystal system = monoclinic
Offset from the most stable computed form = 201 meV/atom
V = 331.1 Å³/f.u.
ΔH_f (0 K) = 71 kJ/mol of atoms
Symmetry = C2/c (15)

A relaxed Tb8Er4Tm3 crystal. Source: Alexandria via LeMat-Bulk, functional PBE.

a b c (Å): 6.696 9.183 9.183
angles (deg): 87.48 111.39 111.39
Fractional coordinates of all 15 atoms:
Tm 0.500 0.500 0.500
Tm 0.500 0.000 0.500
Tb 0.472 0.733 0.733
Tb 0.006 0.268 0.268
Tb 0.500 0.251 0.749
Er 0.500 0.000 0.000
Tb 0.994 0.732 0.732
Tb 0.500 0.749 0.251
Er 0.000 0.500 0.000
Tm 0.500 0.500 0.000
Er 0.000 0.000 0.500
Er 0.000 0.000 0.000
Tb 0.000 0.643 0.357
Tb 0.000 0.357 0.643
Tb 0.528 0.267 0.267

Results
Raw total energy = -4.17 eV/atom
Crystal system = monoclinic
Offset from the most stable computed form = 252 meV/atom
V = 487.0 Å³/f.u.
ΔH_f (0 K) = 39 kJ/mol of atoms
Symmetry = C2/m (12)

A relaxed Tb3Er8Tm2 crystal. Source: Alexandria via LeMat-Bulk, functional PBE.

a b c (Å): 5.550 7.568 10.631
angles (deg): 110.85 90.03 90.00
Fractional coordinates of all 13 atoms:
Tm 0.499 0.241 0.482
Er 0.000 0.866 0.732
Tm 0.501 0.759 0.518
Er 0.500 0.601 0.781
Er 0.000 0.134 0.268
Er 0.500 0.180 0.781
Tb 0.500 0.000 0.000
Tb 0.000 0.287 0.000
Er 0.500 0.399 0.219
Er 0.999 0.330 0.661
Tb 0.000 0.713 0.000
Er 0.500 0.820 0.219
Er 0.001 0.670 0.339

Results
Raw total energy = -4.32 eV/atom
Crystal system = monoclinic
Offset from the most stable computed form = 222 meV/atom
V = 417.3 Å³/f.u.
ΔH_f (0 K) = 24 kJ/mol of atoms
Symmetry = C2/m (12)

A relaxed Tb4ErTm crystal. Source: Alexandria via LeMat-Bulk, functional PBE.

a b c (Å): 3.566 10.119 6.178
angles (deg): 120.61 89.96 79.90
Fractional coordinates of all 6 atoms:
Tb 0.667 0.668 0.556
Tm 0.500 0.000 0.500
Er 0.000 0.000 0.000
Tb 0.167 0.668 0.056
Tb 0.333 0.332 0.444
Tb 0.833 0.332 0.944

Results
Raw total energy = -4.58 eV/atom
Crystal system = monoclinic
Offset from the most stable computed form = 0 meV/atom
V = 187.8 Å³/f.u.
ΔH_f (0 K) = 1 kJ/mol of atoms
Symmetry = C2/m (12)

A relaxed Tb12Er5Tm2 crystal. Source: Alexandria via LeMat-Bulk, functional PBE.

a b c (Å): 9.117 9.056 8.495
angles (deg): 91.05 90.00 120.22
Fractional coordinates of all 19 atoms:
Er 0.768 0.536 0.428
Tm 0.325 0.000 0.000
Tb 0.559 0.118 0.338
Tb 0.441 0.882 0.662
Tb 0.028 0.692 0.759
Tb 0.179 0.747 0.333
Er 0.699 0.397 0.015
Tm 0.675 0.000 0.000
Er 0.301 0.603 0.985
Tb 0.432 0.253 0.667
Tb 0.972 0.308 0.241
Tb 0.910 0.821 0.115
Tb 0.090 0.179 0.885
Er 0.232 0.464 0.572
Tb 0.821 0.253 0.667
Tb 0.568 0.747 0.333
Tb 0.664 0.692 0.759
Tb 0.336 0.308 0.241
Er 0.000 0.000 0.500

Results
Raw total energy = -4.47 eV/atom
Crystal system = monoclinic
Offset from the most stable computed form = 54 meV/atom
V = 606.0 Å³/f.u.
ΔH_f (0 K) = 12 kJ/mol of atoms
Symmetry = C2/m (12)

A relaxed TbEr3Tm6 crystal. Source: Alexandria via LeMat-Bulk, functional PBE.

a b c (Å): 6.274 11.337 11.337
angles (deg): 130.67 90.00 90.00
Fractional coordinates of all 20 atoms:
Tb 0.014 0.162 0.838
Tm 0.285 0.698 0.302
Tm 0.829 0.896 0.458
Tm 0.568 0.621 0.742
Tb 0.514 0.838 0.162
Er 0.489 0.296 0.043
Tm 0.068 0.742 0.621
Tm 0.068 0.379 0.258
Tm 0.785 0.302 0.698
Tm 0.568 0.258 0.379
Er 0.095 0.420 0.580
Tm 0.829 0.542 0.104
Tm 0.329 0.104 0.542
Tm 0.819 0.015 0.985
Er 0.489 0.957 0.704
Tm 0.319 0.985 0.015
Er 0.989 0.043 0.296
Er 0.989 0.704 0.957
Tm 0.329 0.458 0.896
Er 0.595 0.580 0.420

Results
Raw total energy = -4.39 eV/atom
Crystal system = orthorhombic
Offset from the most stable computed form = 0 meV/atom
V = 305.8 Å³/f.u.
ΔH_f (0 K) = 12 kJ/mol of atoms
Symmetry = Cmc2_1 (36)

A relaxed Tb2Er8Tm3 crystal. Source: Alexandria via LeMat-Bulk, functional PBE.

a b c (Å): 5.502 7.484 10.782
angles (deg): 110.31 90.02 90.00
Fractional coordinates of all 13 atoms:
Er 0.500 0.821 0.216
Tm 0.000 0.717 0.000
Er 0.001 0.665 0.329
Er 0.500 0.606 0.784
Er 0.500 0.179 0.784
Tm 0.500 0.000 0.000
Tb 0.501 0.759 0.518
Tm 0.000 0.283 0.000
Er 0.000 0.132 0.263
Er 0.000 0.868 0.737
Tb 0.499 0.241 0.482
Er 0.999 0.335 0.671
Er 0.500 0.394 0.216

Results
Raw total energy = -4.31 eV/atom
Crystal system = monoclinic
Offset from the most stable computed form = 0 meV/atom
V = 416.4 Å³/f.u.
ΔH_f (0 K) = 23 kJ/mol of atoms
Symmetry = C2/m (12)

A relaxed Tb8ErTm2 crystal. Source: Alexandria via LeMat-Bulk, functional PBE.

a b c (Å): 6.367 8.796 9.883
angles (deg): 40.60 78.61 73.77
Fractional coordinates of all 11 atoms:
Er 0.000 0.000 0.000
Tb 0.602 0.718 0.084
Tb 0.799 0.123 0.585
Tm 0.153 0.434 0.171
Tb 0.267 0.438 0.489
Tb 0.733 0.562 0.511
Tm 0.847 0.566 0.829
Tb 0.670 0.109 0.287
Tb 0.201 0.877 0.415
Tb 0.330 0.891 0.713
Tb 0.398 0.282 0.916

Results
Raw total energy = -4.51 eV/atom
Crystal system = triclinic
Offset from the most stable computed form = 0 meV/atom
V = 345.8 Å³/f.u.
ΔH_f (0 K) = 8 kJ/mol of atoms
Symmetry = P-1 (2)

A relaxed Tb5Er2Tm4 crystal. Source: Alexandria via LeMat-Bulk, functional PBE.

a b c (Å): 3.464 8.906 12.484
angles (deg): 110.90 97.98 90.00
Fractional coordinates of all 11 atoms:
Tm 0.000 0.313 0.000
Tm 0.403 0.403 0.806
Tb 0.144 0.946 0.289
Tb 0.500 0.000 0.000
Tb 0.856 0.657 0.711
Er 0.731 0.731 0.462
Tm 0.597 0.597 0.194
Tb 0.856 0.054 0.711
Er 0.269 0.269 0.538
Tb 0.144 0.343 0.289
Tm 0.000 0.687 0.000

Results
Raw total energy = -4.34 eV/atom
Crystal system = orthorhombic
Offset from the most stable computed form = 79 meV/atom
V = 355.9 Å³/f.u.
ΔH_f (0 K) = 21 kJ/mol of atoms
Symmetry = Immm (71)

A relaxed Tb2ErTm8 crystal. Source: Alexandria via LeMat-Bulk, functional PBE.

a b c (Å): 5.370 8.250 8.962
angles (deg): 115.58 107.43 90.00
Fractional coordinates of all 11 atoms:
Tm 0.983 0.276 0.966
Tm 0.383 0.560 0.766
Tb 0.798 0.340 0.596
Tm 0.335 0.108 0.670
Tm 0.665 0.892 0.330
Tm 0.017 0.724 0.034
Er 0.500 0.000 0.000
Tb 0.202 0.660 0.404
Tm 0.842 0.804 0.684
Tm 0.158 0.196 0.316
Tm 0.617 0.440 0.234

Results
Raw total energy = -4.40 eV/atom
Crystal system = monoclinic
V = 337.8 Å³/f.u.
ΔH_f (0 K) = 11 kJ/mol of atoms
Symmetry = C2/m (12)

A relaxed TbEr4Tm2 crystal. Source: Alexandria via LeMat-Bulk, functional PBE.

a b c (Å): 3.534 3.534 19.692
angles (deg): 90.01 90.00 120.00
Fractional coordinates of all 7 atoms:
Tb 0.715 0.429 0.666
Er 0.049 0.098 0.955
Tm 0.715 0.430 0.097
Tm 0.713 0.427 0.380
Er 0.380 0.761 0.522
Er 0.382 0.764 0.811
Er 0.047 0.095 0.238

Results
Raw total energy = -4.54 eV/atom
Crystal system = monoclinic
Offset from the most stable computed form = 0 meV/atom
V = 212.9 Å³/f.u.
ΔH_f (0 K) = 1 kJ/mol of atoms
Symmetry = Cm (8)

A relaxed Tb5Er2Tm3 crystal. Source: Alexandria via LeMat-Bulk, functional PBE.

a b c (Å): 9.433 9.453 11.032
angles (deg): 126.12 126.08 67.87
Fractional coordinates of all 20 atoms:
Tb 0.860 0.610 0.758
Er 0.217 0.986 0.250
Tm 0.268 0.538 0.759
Er 0.533 0.264 0.250
Tb 0.474 0.724 0.449
Er 0.467 0.736 0.750
Tb 0.526 0.276 0.551
Tm 0.008 0.779 0.241
Tb 0.721 0.471 0.943
Tm 0.774 0.024 0.048
Tb 0.980 0.230 0.460
Tb 0.398 0.148 0.758
Tb 0.140 0.390 0.242
Tb 0.602 0.852 0.242
Er 0.783 0.014 0.750
Tb 0.279 0.529 0.057
Tm 0.226 0.976 0.952
Tb 0.020 0.770 0.540
Tm 0.992 0.221 0.759
Tm 0.732 0.462 0.241

Results
Raw total energy = -4.37 eV/atom
Crystal system = monoclinic
Offset from the most stable computed form = 0 meV/atom
V = 320.8 Å³/f.u.
ΔH_f (0 K) = 20 kJ/mol of atoms
Symmetry = C2/c (15)

A relaxed Tb4Er4Tm crystal. Source: Alexandria via LeMat-Bulk, functional PBE.

a b c (Å): 4.968 7.877 7.877
angles (deg): 84.29 71.62 71.62
Fractional coordinates of all 9 atoms:
Er 0.666 0.334 0.334
Tb 0.667 0.000 0.667
Er 0.000 0.334 0.666
Er 0.334 0.666 0.666
Tm 0.000 0.000 0.000
Er 0.000 0.666 0.334
Tb 0.667 0.667 0.000
Tb 0.333 0.000 0.333
Tb 0.333 0.333 0.000

Results
Raw total energy = -4.56 eV/atom
Crystal system = tetragonal
Offset from the most stable computed form = 0 meV/atom
V = 277.6 Å³/f.u.
ΔH_f (0 K) = 2 kJ/mol of atoms
Symmetry = I4/mmm (139)

A relaxed Tb7Er3Tm crystal. Source: Alexandria via LeMat-Bulk, functional PBE.

a b c (Å): 8.863 9.843 5.498
angles (deg): 89.98 128.37 106.11
Fractional coordinates of all 11 atoms:
Tb 0.500 0.000 0.500
Er 0.220 0.000 0.720
Tb 0.353 0.708 0.853
Er 0.000 0.500 0.000
Tb 0.647 0.292 0.147
Tb 0.181 0.359 0.681
Tb 0.819 0.641 0.319
Er 0.780 0.000 0.280
Tm 0.500 0.500 0.500
Tb 0.915 0.830 0.915
Tb 0.085 0.170 0.085

Results
Raw total energy = -4.46 eV/atom
Crystal system = monoclinic
Offset from the most stable computed form = 0 meV/atom
V = 351.7 Å³/f.u.
ΔH_f (0 K) = 13 kJ/mol of atoms
Symmetry = P2/m (10)

A relaxed Tb4Er5Tm2 crystal. Source: Alexandria via LeMat-Bulk, functional PBE.

a b c (Å): 3.612 9.804 13.547
angles (deg): 127.85 113.55 68.38
Fractional coordinates of all 11 atoms:
Er 0.081 0.170 0.501
Er 0.500 0.000 0.000
Tb 0.727 0.354 0.054
Tb 0.411 0.574 0.656
Er 0.919 0.830 0.499
Er 0.685 0.961 0.764
Tm 0.880 0.276 0.770
Tb 0.273 0.646 0.946
Er 0.315 0.039 0.236
Tb 0.589 0.426 0.344
Tm 0.120 0.724 0.230

Results
Raw total energy = -4.51 eV/atom
Crystal system = monoclinic
Offset from the most stable computed form = 0 meV/atom
V = 342.2 Å³/f.u.
ΔH_f (0 K) = 6 kJ/mol of atoms
Symmetry = C2/m (12)

A relaxed Tb7Er4Tm crystal. Source: Alexandria via LeMat-Bulk, functional PBE.

a b c (Å): 6.772 6.435 11.563
angles (deg): 74.98 50.87 82.43
Fractional coordinates of all 12 atoms:
Tb 0.500 0.000 0.000
Tb 0.200 0.488 0.050
Tb 0.285 0.805 0.615
Tb 0.062 0.312 0.643
Er 0.516 0.646 0.285
Er 0.707 0.839 0.685
Tm 0.000 0.000 0.000
Tb 0.938 0.688 0.357
Er 0.293 0.161 0.315
Er 0.484 0.354 0.715
Tb 0.800 0.512 0.950
Tb 0.715 0.195 0.385

Results
Raw total energy = -4.51 eV/atom
Crystal system = triclinic
Offset from the most stable computed form = 0 meV/atom
V = 377.1 Å³/f.u.
ΔH_f (0 K) = 9 kJ/mol of atoms
Symmetry = P-1 (2)

A relaxed TbEr5Tm7 crystal. Source: Alexandria via LeMat-Bulk, functional PBE.

a b c (Å): 6.610 8.549 8.549
angles (deg): 79.56 67.26 67.26
Fractional coordinates of all 13 atoms:
Tm 0.019 0.311 0.650
Er 0.536 0.459 0.004
Er 0.001 0.459 0.004
Tm 0.019 0.650 0.311
Tm 0.518 0.811 0.153
Tm 0.518 0.153 0.811
Tb 0.965 0.035 0.035
Tm 0.578 0.422 0.422
Er 0.536 0.004 0.459
Er 0.768 0.732 0.732
Tm 0.272 0.728 0.728
Tm 0.269 0.231 0.231
Er 0.001 0.004 0.459

Results
Raw total energy = -4.26 eV/atom
Crystal system = orthorhombic
V = 410.6 Å³/f.u.
ΔH_f (0 K) = 25 kJ/mol of atoms
Symmetry = Imm2 (44)